No. 1
DFT (PBE) results for an optimized crystal structure of AuF.

Calculated values
The total magnetization comes out at 0.0 μB/cell. The calculation puts the energy relative to the elements, uncorrected at -0.52 eV/atom. As for the uncorrected energy: -6.18 eV/f.u.

Geometry as CIF:
```
data_AuF
_space_group_name_H-M_alt 'P 1'
_space_group_IT_number 1
_space_group_name_Hall 'P 1'
_cell_length_a 8.058
_cell_length_b 4.830
_cell_length_c 5.172
_cell_angle_alpha 90.00
_cell_angle_beta 90.00
_cell_angle_gamma 90.00
loop_
_atom_site_label
_atom_site_fract_x
_atom_site_fract_y
_atom_site_fract_z
F1 0.824 0.582 0.000
F2 0.176 0.582 0.000
F3 0.676 0.418 0.500
F4 0.500 0.245 0.000
F5 0.324 0.418 0.500
F6 0.000 0.755 0.500
Au1 0.822 0.079 0.500
Au2 0.500 0.804 0.500
Au3 0.322 0.921 0.000
Au4 0.178 0.079 0.500
Au5 0.678 0.921 0.000
Au6 0.000 0.196 0.000
```

***

No. 2
DFT (PBE) results for an optimized crystal structure of AuF.

Calculated values
The total magnetization comes out at 0.0 μB/cell. The calculation puts the energy relative to the elements, uncorrected at -0.09 eV/atom. As for the uncorrected energy: -5.34 eV/f.u.

Geometry as CIF:
```
data_AuF
_space_group_name_H-M_alt 'P 1'
_space_group_IT_number 1
_space_group_name_Hall 'P 1'
_cell_length_a 6.769
_cell_length_b 6.769
_cell_length_c 6.769
_cell_angle_alpha 90.00
_cell_angle_beta 90.00
_cell_angle_gamma 90.00
loop_
_atom_site_label
_atom_site_fract_x
_atom_site_fract_y
_atom_site_fract_z
F1 0.500 0.250 0.000
F2 0.000 0.500 0.250
F3 0.750 0.000 0.500
F4 0.500 0.750 0.000
F5 0.000 0.500 0.750
F6 0.250 0.000 0.500
Au1 0.500 0.000 0.250
Au2 0.750 0.500 0.000
Au3 0.000 0.250 0.500
Au4 0.000 0.750 0.500
Au5 0.250 0.500 0.000
Au6 0.500 0.000 0.750
```

***

No. 3
DFT (PBE) results for an optimized crystal structure of AuF3.

Calculated values
The total magnetization comes out at 1.1 μB/cell. The calculation puts the energy relative to the elements, uncorrected at -0.58 eV/atom. As for the uncorrected energy: -11.20 eV/f.u.

Geometry as CIF:
```
data_AuF3
_space_group_name_H-M_alt 'P 1'
_space_group_IT_number 1
_space_group_name_Hall 'P 1'
_cell_length_a 3.191
_cell_length_b 4.419
_cell_length_c 4.778
_cell_angle_alpha 117.55
_cell_angle_beta 109.51
_cell_angle_gamma 90.00
loop_
_atom_site_label
_atom_site_fract_x
_atom_site_fract_y
_atom_site_fract_z
F1 0.328 0.745 0.657
F2 0.672 0.088 0.343
F3 0.500 0.417 0.000
Au1 0.000 0.917 0.000
```

***

No. 4
DFT (PBE) results for an optimized crystal structure of AuF.

Calculated values
The total magnetization comes out at 0.0 μB/cell. The calculation puts the energy relative to the elements, uncorrected at -0.16 eV/atom. As for the uncorrected energy: -5.46 eV/f.u.

Geometry as CIF:
```
data_AuF
_space_group_name_H-M_alt 'P 1'
_space_group_IT_number 1
_space_group_name_Hall 'P 1'
_cell_length_a 4.012
_cell_length_b 4.012
_cell_length_c 5.773
_cell_angle_alpha 90.00
_cell_angle_beta 90.00
_cell_angle_gamma 120.00
loop_
_atom_site_label
_atom_site_fract_x
_atom_site_fract_y
_atom_site_fract_z
F1 0.667 0.333 0.750
F2 0.333 0.667 0.250
Au1 0.333 0.667 0.750
Au2 0.667 0.333 0.250
```

***

No. 5
DFT (PBE) results for an optimized crystal structure of AuF.

Calculated values
The total magnetization comes out at 0.0 μB/cell. The calculation puts the energy relative to the elements, uncorrected at -0.38 eV/atom. As for the uncorrected energy: -5.90 eV/f.u.

Geometry as CIF:
```
data_AuF
_space_group_name_H-M_alt 'P 1'
_space_group_IT_number 1
_space_group_name_Hall 'P 1'
_cell_length_a 6.214
_cell_length_b 6.214
_cell_length_c 4.188
_cell_angle_alpha 90.00
_cell_angle_beta 90.00
_cell_angle_gamma 90.00
loop_
_atom_site_label
_atom_site_fract_x
_atom_site_fract_y
_atom_site_fract_z
Au1 0.663 0.337 0.500
Au2 0.837 0.837 0.000
Au3 0.337 0.663 0.500
Au4 0.163 0.163 0.000
F1 0.318 0.682 0.000
F2 0.182 0.182 0.500
F3 0.818 0.818 0.500
F4 0.682 0.318 0.000
```

***

No. 6
DFT (PBE) results for an optimized crystal structure of AuF.

Calculated values
The total magnetization comes out at 0.0 μB/cell. The calculation puts the energy relative to the elements, uncorrected at -0.20 eV/atom. As for the uncorrected energy: -5.55 eV/f.u.

Geometry as CIF:
```
data_AuF
_space_group_name_H-M_alt 'P 1'
_space_group_IT_number 1
_space_group_name_Hall 'P 1'
_cell_length_a 7.218
_cell_length_b 7.218
_cell_length_c 7.218
_cell_angle_alpha 90.00
_cell_angle_beta 90.00
_cell_angle_gamma 90.00
loop_
_atom_site_label
_atom_site_fract_x
_atom_site_fract_y
_atom_site_fract_z
F1 0.367 0.633 0.367
F2 0.633 0.367 0.367
F3 0.367 0.367 0.633
F4 0.867 0.867 0.133
F5 0.133 0.867 0.867
F6 0.867 0.133 0.867
F7 0.633 0.633 0.633
F8 0.133 0.133 0.133
Au1 0.801 0.801 0.801
Au2 0.801 0.199 0.199
Au3 0.199 0.801 0.199
Au4 0.301 0.699 0.699
Au5 0.199 0.199 0.801
Au6 0.301 0.301 0.301
Au7 0.699 0.699 0.301
Au8 0.699 0.301 0.699
```

***

No. 7
DFT (PBE) results for an optimized crystal structure of AuF3.

Calculated values
The total magnetization comes out at 2.3 μB/cell. The calculation puts the energy relative to the elements, uncorrected at -0.69 eV/atom. As for the uncorrected energy: -11.64 eV/f.u.

Geometry as CIF:
```
data_AuF3
_space_group_name_H-M_alt 'P 1'
_space_group_IT_number 1
_space_group_name_Hall 'P 1'
_cell_length_a 3.420
_cell_length_b 4.719
_cell_length_c 7.753
_cell_angle_alpha 90.00
_cell_angle_beta 90.00
_cell_angle_gamma 111.24
loop_
_atom_site_label
_atom_site_fract_x
_atom_site_fract_y
_atom_site_fract_z
F1 0.589 0.178 0.250
F2 0.852 0.704 0.411
F3 0.148 0.296 0.589
F4 0.148 0.296 0.911
F5 0.852 0.704 0.089
F6 0.411 0.822 0.750
Au1 0.654 0.308 0.750
Au2 0.346 0.692 0.250
```

***

No. 8
DFT (PBE) results for an optimized crystal structure of AuF4.

Calculated values
The total magnetization comes out at 0.0 μB/cell. The calculation puts the energy relative to the elements, uncorrected at -0.83 eV/atom. As for the uncorrected energy: -14.89 eV/f.u.

Geometry as CIF:
```
data_AuF4
_space_group_name_H-M_alt 'P 1'
_space_group_IT_number 1
_space_group_name_Hall 'P 1'
_cell_length_a 6.875
_cell_length_b 5.716
_cell_length_c 5.721
_cell_angle_alpha 74.09
_cell_angle_beta 53.06
_cell_angle_gamma 53.03
loop_
_atom_site_label
_atom_site_fract_x
_atom_site_fract_y
_atom_site_fract_z
F1 0.250 0.718 0.282
F2 0.250 0.282 0.718
F3 0.750 0.282 0.718
F4 0.201 0.798 0.800
F5 0.799 0.202 0.200
F6 0.750 0.718 0.282
F7 0.299 0.202 0.201
F8 0.701 0.798 0.799
Au1 0.250 0.000 0.000
Au2 0.750 0.000 0.000
```

***

No. 9
DFT (PBE) results for an optimized crystal structure of AuF3.

Calculated values
The total magnetization comes out at 0.0 μB/cell. The calculation puts the energy relative to the elements, uncorrected at -0.73 eV/atom. As for the uncorrected energy: -11.83 eV/f.u.

Geometry as CIF:
```
data_AuF3
_space_group_name_H-M_alt 'P 1'
_space_group_IT_number 1
_space_group_name_Hall 'P 1'
_cell_length_a 7.318
_cell_length_b 7.318
_cell_length_c 5.589
_cell_angle_alpha 49.10
_cell_angle_beta 49.10
_cell_angle_gamma 90.00
loop_
_atom_site_label
_atom_site_fract_x
_atom_site_fract_y
_atom_site_fract_z
F1 0.746 0.125 0.250
F2 0.004 0.625 0.250
F3 0.500 0.500 0.000
F4 0.250 0.750 0.500
F5 0.875 0.996 0.750
F6 0.375 0.254 0.750
Au1 0.000 0.000 0.000
Au2 0.750 0.250 0.500
```

***

No. 10
DFT (PBE) results for an optimized crystal structure of AuF6.

Calculated values
The total magnetization comes out at 8.3 μB/cell. The calculation puts the energy relative to the elements, uncorrected at -0.42 eV/atom. As for the uncorrected energy: -17.46 eV/f.u.

Geometry as CIF:
```
data_AuF6
_space_group_name_H-M_alt 'P 1'
_space_group_IT_number 1
_space_group_name_Hall 'P 1'
_cell_length_a 5.973
_cell_length_b 9.075
_cell_length_c 8.237
_cell_angle_alpha 90.00
_cell_angle_beta 90.00
_cell_angle_gamma 90.00
loop_
_atom_site_label
_atom_site_fract_x
_atom_site_fract_y
_atom_site_fract_z
F1 0.336 0.250 0.388
F2 0.836 0.750 0.112
F3 0.559 0.356 0.071
F4 0.664 0.750 0.612
F5 0.708 0.963 0.354
F6 0.292 0.463 0.646
F7 0.059 0.856 0.429
F8 0.941 0.356 0.571
F9 0.433 0.750 0.294
F10 0.208 0.463 0.146
F11 0.059 0.644 0.429
F12 0.567 0.250 0.706
F13 0.941 0.144 0.571
F14 0.933 0.250 0.206
F15 0.441 0.644 0.929
F16 0.067 0.750 0.794
F17 0.441 0.856 0.929
F18 0.164 0.250 0.888
F19 0.708 0.537 0.354
F20 0.292 0.037 0.646
F21 0.792 0.537 0.854
F22 0.208 0.037 0.146
F23 0.559 0.144 0.071
F24 0.792 0.963 0.854
Au1 0.258 0.250 0.639
Au2 0.242 0.250 0.139
Au3 0.758 0.750 0.861
Au4 0.742 0.750 0.361
```